1.
Below is BTeI2Cl after structural relaxation, with properties calculated at the PBE-GGA level.

Values from the calculation:
**Energy relative to the lowest polymorph listed for this composition**: 0.42 eV/f.u.
**Space-group type**: P4/mmm, No. 123

The structure in CIF format:
```
data_BTeI2Cl
_chemical_formula_sum 'B1 Te1 I2 Cl1'
_symmetry_space_group_name_H-M 'P 1'
_symmetry_Int_Tables_number 1
_cell_length_a 5.112
_cell_length_b 5.112
_cell_length_c 4.930
_cell_angle_alpha 90.00
_cell_angle_beta 90.00
_cell_angle_gamma 90.00
loop_
_symmetry_equiv_pos_as_xyz
'x,y,z'
loop_
_atom_site_label
_atom_site_fract_x
_atom_site_fract_y
_atom_site_fract_z
I1 0.000 0.500 0.000
I2 0.500 0.000 0.000
B1 0.000 0.000 0.000
Te1 0.000 0.000 0.500
Cl1 0.500 0.500 0.500
```

2.
Below is TiB2ICl after structural relaxation, with properties calculated at the PBE-GGA level.

Values from the calculation:
**Space-group type**: P4/mmm, No. 123

The structure in CIF format:
```
data_TiB2ICl
_chemical_formula_sum 'Ti1 B2 I1 Cl1'
_symmetry_space_group_name_H-M 'P 1'
_symmetry_Int_Tables_number 1
_cell_length_a 4.534
_cell_length_b 5.269
_cell_length_c 4.534
_cell_angle_alpha 90.00
_cell_angle_beta 90.00
_cell_angle_gamma 90.00
loop_
_symmetry_equiv_pos_as_xyz
'x,y,z'
loop_
_atom_site_label
_atom_site_fract_x
_atom_site_fract_y
_atom_site_fract_z
I1 0.000 0.500 0.000
B1 0.000 0.000 0.500
B2 0.500 0.000 0.000
Cl1 0.500 0.500 0.500
Ti1 0.000 0.000 0.000
```

3.
Below is InB2Cl after structural relaxation, with properties calculated at the PBE-GGA level.

Values from the calculation:
**Energy relative to the lowest polymorph listed for this composition**: 2.03 eV/f.u.
**Space-group type**: Fm-3m, No. 225

The structure in CIF format:
```
data_InB2Cl
_chemical_formula_sum 'In1 B2 Cl1'
_symmetry_space_group_name_H-M 'P 1'
_symmetry_Int_Tables_number 1
_cell_length_a 4.488
_cell_length_b 4.488
_cell_length_c 4.488
_cell_angle_alpha 60.00
_cell_angle_beta 60.00
_cell_angle_gamma 60.00
loop_
_symmetry_equiv_pos_as_xyz
'x,y,z'
loop_
_atom_site_label
_atom_site_fract_x
_atom_site_fract_y
_atom_site_fract_z
B1 0.250 0.250 0.250
B2 0.750 0.750 0.750
Cl1 0.000 0.000 0.000
In1 0.500 0.500 0.500
```

4.
Below is In2BCl5 after structural relaxation, with properties calculated at the PBE-GGA level.

Values from the calculation:
**Space-group type**: Cm, No. 8

The structure in CIF format:
```
data_In2BCl5
_chemical_formula_sum 'In2 B1 Cl5'
_symmetry_space_group_name_H-M 'P 1'
_symmetry_Int_Tables_number 1
_cell_length_a 8.550
_cell_length_b 8.550
_cell_length_c 8.503
_cell_angle_alpha 136.87
_cell_angle_beta 136.91
_cell_angle_gamma 63.11
loop_
_symmetry_equiv_pos_as_xyz
'x,y,z'
loop_
_atom_site_label
_atom_site_fract_x
_atom_site_fract_y
_atom_site_fract_z
In1 0.239 0.741 0.480
In2 0.738 0.241 0.480
B1 0.965 0.965 0.929
Cl1 0.894 0.232 0.126
Cl2 0.223 0.221 0.940
Cl3 0.719 0.717 0.941
Cl4 0.233 0.895 0.127
Cl5 0.766 0.765 0.531
```

5.
Below is InB2Cl after structural relaxation, with properties calculated at the PBE-GGA level.

Values from the calculation:
**Energy relative to the lowest polymorph listed for this composition**: 0.00 eV/f.u.
**Space-group type**: I-42d, No. 122

The structure in CIF format:
```
data_InB2Cl
_chemical_formula_sum 'In2 B4 Cl2'
_symmetry_space_group_name_H-M 'P 1'
_symmetry_Int_Tables_number 1
_cell_length_a 5.238
_cell_length_b 5.238
_cell_length_c 6.476
_cell_angle_alpha 66.14
_cell_angle_beta 66.14
_cell_angle_gamma 90.00
loop_
_symmetry_equiv_pos_as_xyz
'x,y,z'
loop_
_atom_site_label
_atom_site_fract_x
_atom_site_fract_y
_atom_site_fract_z
B1 0.624 0.125 0.250
B2 0.126 0.625 0.250
B3 0.375 0.376 0.750
B4 0.875 0.874 0.750
Cl1 0.500 0.500 0.000
Cl2 0.250 0.750 0.500
In1 0.000 0.000 0.000
In2 0.750 0.250 0.500
```

6.
Below is In2BCl after structural relaxation, with properties calculated at the PBE-GGA level.

Values from the calculation:
**Energy relative to the lowest polymorph listed for this composition**: 2.87 eV/f.u.
**Space-group type**: Fm-3m, No. 225

The structure in CIF format:
```
data_In2BCl
_chemical_formula_sum 'In2 B1 Cl1'
_symmetry_space_group_name_H-M 'P 1'
_symmetry_Int_Tables_number 1
_cell_length_a 4.906
_cell_length_b 4.906
_cell_length_c 4.906
_cell_angle_alpha 60.00
_cell_angle_beta 60.00
_cell_angle_gamma 60.00
loop_
_symmetry_equiv_pos_as_xyz
'x,y,z'
loop_
_atom_site_label
_atom_site_fract_x
_atom_site_fract_y
_atom_site_fract_z
B1 0.000 0.000 0.000
Cl1 0.500 0.500 0.500
In1 0.250 0.250 0.250
In2 0.750 0.750 0.750
```

no.,raw formation energy (eV per atom),DOS(E_F) (states/eV/f.u.),ρ (g cm⁻³)
1,0.714,4.941,5.51
2,1.203,4.957,3.56
3,1.772,2.025,4.47
4,-0.833,0.000,2.43
5,1.264,0.000,3.92
6,0.693,1.558,5.49